# 1
TbHoAlCu | GGA-PBE | relaxed

Unit cell a=3.4694 b=3.4694 c=7.3825 alpha=90.00 beta=90.00 gamma=90.00
Closest atoms and distances in Å follow each position.
Space group P4mm (No. 99)
One atom of each set of equivalent atoms:
Tb 0.0000 0.0000 0.0000  4 Cu 3.05, 4 Al 3.15
Ho 0.0000 0.0000 0.4716  4 Cu 2.97, 4 Al 3.12
Al 0.5000 0.5000 0.7333  4 Ho 3.12, 4 Tb 3.15, 4 Al 3.47
Cu 0.5000 0.5000 0.2444  4 Ho 2.97, 4 Tb 3.05

Values from the calculation:
ΔE to the lowest computed polymorph = 0.0 meV/atom
total moment = 0.00 μB per formula unit
calculated volume = 89 Å³ per cell
energy = -4.583 eV per atom
energy relative to the elements = -0.321 eV per atom

=====

# 2
HoThAlCu | GGA-PBE | relaxed

Unit cell a=7.2234 b=7.2234 c=7.2234 alpha=90.00 beta=90.00 gamma=90.00
Closest atoms and distances in Å follow each position.
Space group F-43m (No. 216)
One atom of each set of equivalent atoms:
Ho 0.0000 0.0000 0.0000  4 Cu 3.13, 4 Al 3.13
Th 0.0000 0.0000 0.5000  4 Al 3.13, 4 Cu 3.13
Al 0.2500 0.2500 0.7500  4 Th 3.13, 4 Ho 3.13
Cu 0.2500 0.2500 0.2500  4 Th 3.13, 4 Ho 3.13

Values from the calculation:
total moment = 0.00 μB per formula unit
calculated volume = 377 Å³ per cell
energy = -5.141 eV per atom
energy relative to the elements = -0.182 eV per atom

=====

# 3
HoTmAlCu | GGA-PBE | relaxed

Unit cell a=7.0640 b=7.0640 c=7.0640 alpha=90.00 beta=90.00 gamma=90.00
Closest atoms and distances in Å follow each position.
Space group F-43m (No. 216)
One atom of each set of equivalent atoms:
Ho 0.0000 0.0000 0.0000  4 Cu 3.06, 4 Al 3.06
Tm 0.0000 0.0000 0.5000  4 Al 3.06, 4 Cu 3.06
Al 0.2500 0.2500 0.7500  4 Ho 3.06, 4 Tm 3.06
Cu 0.2500 0.2500 0.2500  4 Ho 3.06, 4 Tm 3.06

Values from the calculation:
ΔE to the lowest computed polymorph = 37.0 meV/atom
total moment = 0.00 μB per formula unit
calculated volume = 352 Å³ per cell
energy = -4.521 eV per atom
energy relative to the elements = -0.299 eV per atom

=====

# 4
HoTmAlCu | GGA-PBE | relaxed

Unit cell a=3.4405 b=3.4405 c=7.3031 alpha=90.00 beta=90.00 gamma=90.00
Closest atoms and distances in Å follow each position.
Space group P4mm (No. 99)
One atom of each set of equivalent atoms:
Ho 0.0000 0.0000 0.0000  4 Cu 3.01, 4 Al 3.12
Tm 0.0000 0.0000 0.4701  4 Cu 2.94, 4 Al 3.10
Al 0.5000 0.5000 0.7327  4 Tm 3.10, 4 Ho 3.12, 4 Al 3.44
Cu 0.5000 0.5000 0.2432  4 Tm 2.94, 4 Ho 3.01

Values from the calculation:
ΔE to the lowest computed polymorph = 0.0 meV/atom
total moment = 0.00 μB per formula unit
calculated volume = 86 Å³ per cell
energy = -4.558 eV per atom
energy relative to the elements = -0.336 eV per atom

=====

# 5
Ho2Tm2Al4Cu | GGA-PBE | relaxed

Unit cell a=6.4358 b=6.4358 c=9.5992 alpha=90.00 beta=90.00 gamma=90.00
Closest atoms and distances in Å follow each position.
Space group I4/mmm (No. 139)
One atom of each set of equivalent atoms:
Ho 0.0000 0.0000 0.2256  1 Cu 2.63
Tm 0.0000 0.5000 0.2500  4 Ho 3.23, 8 Al 3.31
Al 0.2322 0.2322 0.0000  1 Cu 2.44
Cu 0.0000 0.0000 0.5000  4 Al 2.44, 2 Ho 2.63

Values from the calculation:
total moment = 0.63 μB per formula unit
calculated volume = 398 Å³ per cell
energy = -4.329 eV per atom
energy relative to the elements = -0.199 eV per atom

=====

# 6
YHoAlCu | GGA-PBE | relaxed

Unit cell a=3.4710 b=3.4710 c=7.3638 alpha=90.00 beta=90.00 gamma=90.00
Closest atoms and distances in Å follow each position.
Space group P4mm (No. 99)
One atom of each set of equivalent atoms:
Y 0.0000 0.0000 0.0000  4 Cu 3.04, 4 Al 3.14
Ho 0.0000 0.0000 0.5280  4 Cu 2.97, 4 Al 3.12
Al 0.5000 0.5000 0.2654  4 Ho 3.12, 4 Y 3.14, 4 Al 3.47
Cu 0.5000 0.5000 0.7553  4 Ho 2.97, 4 Y 3.04

Values from the calculation:
ΔE to the lowest computed polymorph = 0.0 meV/atom
total moment = 0.00 μB per formula unit
calculated volume = 89 Å³ per cell
energy = -5.051 eV per atom
energy relative to the elements = -0.331 eV per atom

=====

# 7
YHoAlCu | GGA-PBE | relaxed

Unit cell a=7.1249 b=7.1249 c=7.1249 alpha=90.00 beta=90.00 gamma=90.00
Closest atoms and distances in Å follow each position.
Space group F-43m (No. 216)
One atom of each set of equivalent atoms:
Y 0.0000 0.0000 0.0000  4 Al 3.09, 4 Cu 3.09
Ho 0.0000 0.0000 0.5000  4 Al 3.09, 4 Cu 3.09
Al 0.2500 0.2500 0.2500  4 Ho 3.09, 4 Y 3.09
Cu 0.2500 0.2500 0.7500  4 Ho 3.09, 4 Y 3.09

Values from the calculation:
ΔE to the lowest computed polymorph = 33.6 meV/atom
total moment = 0.00 μB per formula unit
calculated volume = 362 Å³ per cell
energy = -5.018 eV per atom
energy relative to the elements = -0.297 eV per atom

=====

# 8
Y2Ho2Al4Cu | GGA-PBE | relaxed

Unit cell a=6.9268 b=6.9268 c=8.6832 alpha=90.00 beta=90.00 gamma=90.00
Closest atoms and distances in Å follow each position.
Space group I4/mmm (No. 139)
One atom of each set of equivalent atoms:
Y 0.0000 0.5000 0.2500  8 Al 3.27, 4 Ho 3.50
Ho 0.0000 0.0000 0.1955  1 Cu 2.64
Al 0.2398 0.2398 0.5000  1 Cu 2.35
Cu 0.0000 0.0000 0.5000  4 Al 2.35

Values from the calculation:
total moment = 0.00 μB per formula unit
calculated volume = 417 Å³ per cell
energy = -4.789 eV per atom
energy relative to the elements = -0.217 eV per atom

=====

Question: Look up the calculated volume of the fifth one.
Answer: 398 Å³ per cell

=====

Please write out number 4 again, unchanged.
HoTmAlCu | GGA-PBE | relaxed

Unit cell a=3.4405 b=3.4405 c=7.3031 alpha=90.00 beta=90.00 gamma=90.00
Closest atoms and distances in Å follow each position.
Space group P4mm (No. 99)
One atom of each set of equivalent atoms:
Ho 0.0000 0.0000 0.0000  4 Cu 3.01, 4 Al 3.12
Tm 0.0000 0.0000 0.4701  4 Cu 2.94, 4 Al 3.10
Al 0.5000 0.5000 0.7327  4 Tm 3.10, 4 Ho 3.12, 4 Al 3.44
Cu 0.5000 0.5000 0.2432  4 Tm 2.94, 4 Ho 3.01

Values from the calculation:
ΔE to the lowest computed polymorph = 0.0 meV/atom
total moment = 0.00 μB per formula unit
calculated volume = 86 Å³ per cell
energy = -4.558 eV per atom
energy relative to the elements = -0.336 eV per atom